(1)
A relaxed structure of BaLiTb. Source: Alexandria, functional PBE-GGA.

## Properties
The calculation puts the formation energy at 33 kJ/mol of formula units. The magnetization is 0.001 μB per cell.

Unit cell a=5.663 b=5.668 c=13.812 alpha=90.00 beta=90.05 gamma=90.00
Space group C2/m (No. 12)
Asymmetric unit:
Ba 0.250 0.000 0.130 (multiplicity 4)
Li 0.249 0.500 0.305 (multiplicity 4)
Tb 0.250 0.000 0.425 (multiplicity 4)

(2)
A relaxed structure of Ag6SeF5. Source: Alexandria, functional PBE-GGA.

## Properties
The total energy comes out at -3.3341 eV/atom. The magnetization is 0.000 μB per cell.

Unit cell a=6.312 b=11.835 c=5.616 alpha=90.00 beta=109.64 gamma=90.00
Space group C2/m (No. 12)
Asymmetric unit:
Ag 0.236 0.000 0.200 (multiplicity 4)
Ag 0.243 0.168 0.734 (multiplicity 8)
Se 0.000 0.000 0.500 (multiplicity 2)
F 0.000 0.207 0.000 (multiplicity 4)
F 0.000 0.345 0.500 (multiplicity 4)
F 0.000 0.500 0.000 (multiplicity 2)

(3)
A relaxed structure of Sc2InCl. Source: Alexandria, functional PBE-GGA.

## Properties
For the excess energy over the best structure of this formula in the dataset, the calculation gives 0.000 eV/atom. The magnetization is 0.000 μB per cell.

Unit cell a=3.367 b=3.513 c=7.754 alpha=90.00 beta=90.00 gamma=90.00
Space group Pmmm (No. 47)
Asymmetric unit:
Sc 0.000 0.000 0.237 (multiplicity 2)
In 0.500 0.500 0.000 (multiplicity 1)
Cl 0.500 0.000 0.500 (multiplicity 1)

(4)
A relaxed structure of RePt2Pb. Source: Alexandria, functional PBE-GGA.

## Properties
The calculation puts the formation energy at 53 kJ/mol of formula units. The magnetization is 0.000 μB per cell.

Unit cell a=2.912 b=2.912 c=8.650 alpha=90.00 beta=90.00 gamma=90.00
Space group P4/mmm (No. 123)
Asymmetric unit:
Re 0.000 0.000 0.000 (multiplicity 1)
Pt 0.500 0.500 0.207 (multiplicity 2)
Pb 0.000 0.000 0.500 (multiplicity 1)